Density functional theory data (PBE) for an optimized crystal structure of K2Ca2SbO6.

Cell lengths 5.8812, 5.8812, 6.6233 Å; angles 99.13, 99.13, 119.13 degrees
Positions (direct):
K (0.1688, 0.8312, 0.0000)
K (0.8312, 0.1688, 0.0000)
Ca (0.3387, 0.6613, 0.5000)
Ca (0.6613, 0.3387, 0.5000)
Sb (0.0000, 0.0000, 0.5000)
O (0.0522, 0.3489, 0.6754)
O (0.2236, 0.2236, 0.3244)
O (0.3489, 0.0522, 0.6754)
O (0.6511, 0.9478, 0.3246)
O (0.7764, 0.7764, 0.6756)
O (0.9478, 0.6511, 0.3246)

Calculated values
raw formation energy: -1.9785 eV per atom
N(E_F): 0.6181 states/eV/atom
calculated density: 3.3 g/cm³

Density functional theory data (PBE) for an optimized crystal structure of K3Pm2TiTe6.

Cell lengths 7.7196, 7.7196, 8.6372 Å; angles 98.61, 98.61, 120.06 degrees
Positions (direct):
K (0.0000, 0.0000, 0.0000)
K (0.3261, 0.6739, 0.0000)
K (0.6739, 0.3261, 0.0000)
Pm (0.1658, 0.8342, 0.5000)
Pm (0.8342, 0.1658, 0.5000)
Ti (0.5000, 0.5000, 0.5000)
Te (0.1225, 0.4319, 0.2952)
Te (0.2611, 0.2611, 0.7066)
Te (0.4319, 0.1225, 0.2952)
Te (0.5681, 0.8775, 0.7048)
Te (0.7389, 0.7389, 0.2934)
Te (0.8775, 0.5681, 0.7048)

Calculated values
raw formation energy: -1.1850 eV per atom
N(E_F): 0.5835 states/eV/atom
calculated density: 4.8 g/cm³

Density functional theory data (PBE) for an optimized crystal structure of Sr4Ca2Pb5.

Cell lengths 12.4280, 12.4280, 12.4280 Å; angles 129.62, 61.16, 147.64 degrees
Positions (direct):
Sr (0.0605, 0.7512, 0.8117)
Sr (0.1350, 0.1183, 0.2533)
Sr (0.3650, 0.6183, 0.9833)
Sr (0.4395, 0.2512, 0.6906)
Sr (0.5605, 0.7488, 0.3094)
Sr (0.6350, 0.3817, 0.0167)
Sr (0.8650, 0.8817, 0.7467)
Sr (0.9395, 0.2488, 0.1883)
Ca (0.0544, 0.7500, 0.3044)
Ca (0.4456, 0.7500, 0.6956)
Ca (0.5544, 0.2500, 0.3044)
Ca (0.9456, 0.2500, 0.6956)
Pb (0.0672, 0.4341, 0.5013)
Pb (0.2227, 0.7847, 0.0074)
Pb (0.2500, 0.2500, 0.0000)
Pb (0.2773, 0.2847, 0.5620)
Pb (0.4328, 0.9341, 0.3669)
Pb (0.5672, 0.0659, 0.6331)
Pb (0.7227, 0.7153, 0.4380)
Pb (0.7500, 0.7500, 0.0000)
Pb (0.7773, 0.2153, 0.9926)
Pb (0.9328, 0.5659, 0.4987)

Calculated values
N(E_F): 0.7989 states/eV/atom
energy of formation: -0.4918 eV per atom
calculated density: 6.2 g/cm³

Density functional theory data (PBE) for an optimized crystal structure of LiNbGe2W.

Cell lengths 4.8787, 4.8787, 4.6442 Å; angles 90.00, 90.00, 90.00 degrees
Positions (direct):
Li (0.0000, 0.0000, 0.0000)
Nb (0.0000, 0.0000, 0.5000)
Ge (0.0000, 0.5000, 0.5000)
Ge (0.5000, 0.0000, 0.5000)
W (0.5000, 0.5000, 0.0000)

Calculated values
N(E_F): 0.7154 states/eV/atom
energy of formation: 1.5941 eV per atom
calculated density: 6.4 g/cm³

Density functional theory data (PBE) for an optimized crystal structure of AlZn2Cl.

Cell lengths 6.0609, 6.0609, 6.0609 Å; angles 142.24, 142.24, 54.47 degrees
Positions (direct):
Al (0.0000, 0.0000, 0.0000)
Zn (0.2500, 0.7500, 0.5000)
Zn (0.7500, 0.2500, 0.5000)
Cl (0.5000, 0.5000, 0.0000)

Calculated values
raw formation energy: 0.0768 eV per atom
N(E_F): 0.2413 states/eV/atom
calculated density: 3.9 g/cm³
offset from the most stable computed form: 0.89 eV per formula unit

Density functional theory data (PBE) for an optimized crystal structure of Ho3Te2As.

Cell lengths 7.3405, 7.3405, 7.4585 Å; angles 99.46, 99.46, 119.90 degrees
Positions (direct):
Ho (0.0702, 0.4237, 0.7755)
Ho (0.2179, 0.2179, 0.2188)
Ho (0.4237, 0.0702, 0.7755)
Ho (0.5763, 0.9298, 0.2245)
Ho (0.7821, 0.7821, 0.7812)
Ho (0.9298, 0.5763, 0.2245)
Te (0.0000, 0.0000, 0.5000)
Te (0.3403, 0.6597, 0.5000)
Te (0.5000, 0.5000, 0.0000)
Te (0.6597, 0.3403, 0.5000)
As (0.1683, 0.8317, 0.0000)
As (0.8317, 0.1683, 0.0000)

Calculated values
raw formation energy: -1.4072 eV per atom
N(E_F): 0.4308 states/eV/atom
calculated density: 8.3 g/cm³
offset from the most stable computed form: 0.00 eV per formula unit

Density functional theory data (PBE) for an optimized crystal structure of Sr2AsIr.

Cell lengths 5.3685, 5.3685, 3.5132 Å; angles 90.00, 90.00, 101.55 degrees
Positions (direct):
Sr (0.0000, 0.5000, 0.0000)
Sr (0.5000, 0.0000, 0.0000)
As (0.0000, 0.0000, 0.5000)
Ir (0.5000, 0.5000, 0.5000)

Calculated values
N(E_F): 0.4388 states/eV/atom
energy of formation: -0.3013 eV per atom
calculated density: 7.4 g/cm³

Density functional theory data (PBE) for an optimized crystal structure of La3Mo.

Cell lengths 6.4392, 6.4392, 6.4392 Å; angles 145.55, 127.06, 64.71 degrees
Positions (direct):
La (0.0000, 0.0000, 0.0000)
La (0.2982, 0.7982, 0.5000)
La (0.7018, 0.2018, 0.5000)
Mo (0.5000, 0.5000, 0.0000)

Calculated values
N(E_F): 1.2801 states/eV/atom
energy of formation: 0.3287 eV per atom
calculated density: 7.1 g/cm³
offset from the most stable computed form: 0.49 eV per formula unit

Density functional theory data (PBE) for an optimized crystal structure of NaSr2Au.

Cell lengths 8.5692, 8.5692, 8.2930 Å; angles 90.00, 90.00, 149.32 degrees
Positions (direct):
Na (0.0079, 0.9921, 0.7500)
Na (0.9921, 0.0079, 0.2500)
Sr (0.3509, 0.6491, 0.0002)
Sr (0.3509, 0.6491, 0.4998)
Sr (0.6491, 0.3509, 0.9998)
Sr (0.6491, 0.3509, 0.5002)
Au (0.2004, 0.7996, 0.7500)
Au (0.7996, 0.2004, 0.2500)

Calculated values
N(E_F): 0.4311 states/eV/atom
energy of formation: -0.4055 eV per atom
calculated density: 4.2 g/cm³
offset from the most stable computed form: 0.00 eV per formula unit

Density functional theory data (PBE) for an optimized crystal structure of PaTcSnO6.

Cell lengths 5.3763, 5.3763, 9.3979 Å; angles 90.00, 90.00, 120.00 degrees
Positions (direct):
Pa (0.3333, 0.6667, 0.2500)
Pa (0.6667, 0.3333, 0.7500)
Tc (0.3333, 0.6667, 0.7500)
Tc (0.6667, 0.3333, 0.2500)
Sn (0.0000, 0.0000, 0.0000)
Sn (0.0000, 0.0000, 0.5000)
O (0.0191, 0.3408, 0.6271)
O (0.0191, 0.6784, 0.8729)
O (0.3216, 0.3408, 0.8729)
O (0.3216, 0.9809, 0.6271)
O (0.3408, 0.0191, 0.1271)
O (0.3408, 0.3216, 0.3729)
O (0.6592, 0.6784, 0.6271)
O (0.6592, 0.9809, 0.8729)
O (0.6784, 0.0191, 0.3729)
O (0.6784, 0.6592, 0.1271)
O (0.9809, 0.3216, 0.1271)
O (0.9809, 0.6592, 0.3729)

Calculated values
raw formation energy: -2.1342 eV per atom
N(E_F): 0.3153 states/eV/atom
calculated density: 7.7 g/cm³

Density functional theory data (PBE) for an optimized crystal structure of Cd5PbBr12.

Cell lengths 7.1558, 7.1558, 13.8279 Å; angles 90.09, 90.09, 120.12 degrees
Positions (direct):
Cd (0.0000, 0.0000, 0.0000)
Cd (0.1666, 0.8334, 0.5000)
Cd (0.3334, 0.6666, 0.0000)
Cd (0.6666, 0.3334, 0.0000)
Cd (0.8334, 0.1666, 0.5000)
Pb (0.5000, 0.5000, 0.5000)
Br (0.0005, 0.6675, 0.1112)
Br (0.1410, 0.4995, 0.3816)
Br (0.1418, 0.1418, 0.6185)
Br (0.3325, 0.9995, 0.8888)
Br (0.3344, 0.3344, 0.1116)
Br (0.4995, 0.1410, 0.3816)
Br (0.5005, 0.8590, 0.6184)
Br (0.6656, 0.6656, 0.8884)
Br (0.6675, 0.0005, 0.1112)
Br (0.8582, 0.8582, 0.3815)
Br (0.8590, 0.5005, 0.6184)
Br (0.9995, 0.3325, 0.8888)

Calculated values
raw formation energy: -0.8616 eV per atom
N(E_F): 0.0000 states/eV/atom
calculated density: 4.7 g/cm³

Density functional theory data (PBE) for an optimized crystal structure of AlMoPb.

Cell lengths 4.5873, 4.5873, 4.5873 Å; angles 60.00, 60.00, 60.00 degrees
Positions (direct):
Al (0.0000, 0.0000, 0.0000)
Mo (0.2500, 0.2500, 0.2500)
Pb (0.5000, 0.5000, 0.5000)

Calculated values
N(E_F): 0.8349 states/eV/atom
energy of formation: 0.7417 eV per atom
calculated density: 8.0 g/cm³
offset from the most stable computed form: 1.29 eV per formula unit

Density functional theory data (PBE) for an optimized crystal structure of Th8Fe2Ni.

Cell lengths 7.6881, 7.6881, 6.1089 Å; angles 100.13, 100.13, 119.47 degrees
Positions (direct):
Th (0.0000, 0.0000, 0.0000)
Th (0.1229, 0.5393, 0.1726)
Th (0.2470, 0.9909, 0.5661)
Th (0.4590, 0.7195, 0.7831)
Th (0.5393, 0.1229, 0.1726)
Th (0.7042, 0.7042, 0.3567)
Th (0.7195, 0.4590, 0.7831)
Th (0.9909, 0.2470, 0.5661)
Fe (0.0755, 0.6658, 0.6819)
Fe (0.6658, 0.0755, 0.6819)
Ni (0.3544, 0.3544, 0.4021)

Calculated values
N(E_F): 1.1906 states/eV/atom
energy of formation: 0.0184 eV per atom
calculated density: 11.4 g/cm³

Density functional theory data (PBE) for an optimized crystal structure of KCoS2.

Cell lengths 4.7177, 4.7177, 4.7177 Å; angles 60.00, 60.00, 60.00 degrees
Positions (direct):
K (0.0000, 0.0000, 0.0000)
Co (0.5000, 0.5000, 0.5000)
S (0.2500, 0.2500, 0.2500)
S (0.7500, 0.7500, 0.7500)

Calculated values
raw formation energy: 0.2552 eV per atom
N(E_F): 0.7458 states/eV/atom
calculated density: 3.6 g/cm³

Density functional theory data (PBE) for an optimized crystal structure of Na3BiPd.

Cell lengths 5.3442, 5.3442, 5.3442 Å; angles 90.00, 90.00, 90.00 degrees
Positions (direct):
Na (0.0000, 0.0000, 0.5000)
Na (0.0000, 0.5000, 0.0000)
Na (0.5000, 0.0000, 0.0000)
Bi (0.5000, 0.5000, 0.5000)
Pd (0.0000, 0.0000, 0.0000)

Calculated values
N(E_F): 0.8571 states/eV/atom
energy of formation: 0.1566 eV per atom
calculated density: 4.2 g/cm³
offset from the most stable computed form: 1.67 eV per formula unit

Density functional theory data (PBE) for an optimized crystal structure of GaCoBiOs2.

Cell lengths 5.0714, 5.0714, 4.7622 Å; angles 90.00, 90.00, 90.00 degrees
Positions (direct):
Ga (0.0000, 0.0000, 0.0000)
Co (0.5000, 0.5000, 0.0000)
Bi (0.5000, 0.5000, 0.5000)
Os (0.0000, 0.5000, 0.5000)
Os (0.5000, 0.0000, 0.5000)

Calculated values
N(E_F): 1.2574 states/eV/atom
energy of formation: 2.3902 eV per atom
calculated density: 9.7 g/cm³

Density functional theory data (PBE) for an optimized crystal structure of TeIrOsPb.

Cell lengths 7.7690, 7.7690, 7.7690 Å; angles 29.50, 29.50, 29.50 degrees
Positions (direct):
Te (0.0000, 0.0000, 0.0000)
Ir (0.4003, 0.4003, 0.4003)
Os (0.7789, 0.7789, 0.7789)
Pb (0.5315, 0.5315, 0.5315)

Calculated values
raw formation energy: 0.4091 eV per atom
N(E_F): 1.1362 states/eV/atom
calculated density: 11.8 g/cm³
offset from the most stable computed form: 0.30 eV per formula unit

Density functional theory data (PBE) for an optimized crystal structure of CeNbTc2.

Cell lengths 3.2718, 3.2718, 6.8115 Å; angles 90.00, 90.00, 90.00 degrees
Positions (direct):
Ce (0.0000, 0.0000, 0.0000)
Nb (0.0000, 0.0000, 0.5000)
Tc (0.5000, 0.5000, 0.2724)
Tc (0.5000, 0.5000, 0.7276)

Calculated values
N(E_F): 1.1240 states/eV/atom
energy of formation: -0.0866 eV per atom
calculated density: 9.8 g/cm³

Density functional theory data (PBE) for an optimized crystal structure of CeEr2ZrAs4.

Cell lengths 7.0176, 4.0556, 7.0236 Å; angles 90.00, 109.30, 90.00 degrees
Positions (direct):
Ce (0.0000, 0.0000, 0.0000)
Er (0.5000, 0.0000, 0.5000)
Er (0.5000, 0.5000, 0.0000)
Zr (0.0000, 0.5000, 0.5000)
As (0.2441, 0.0000, 0.7398)
As (0.2508, 0.5000, 0.2595)
As (0.7492, 0.5000, 0.7405)
As (0.7559, 0.0000, 0.2602)

Calculated values
N(E_F): 0.8165 states/eV/atom
energy of formation: -1.3804 eV per atom
calculated density: 7.6 g/cm³

Density functional theory data (PBE) for an optimized crystal structure of La3TbRu.

Cell lengths 7.2148, 7.2148, 12.2705 Å; angles 108.88, 108.88, 32.72 degrees
Positions (direct):
La (0.0767, 0.0767, 0.3880)
La (0.1485, 0.1485, 0.9162)
La (0.3250, 0.3250, 0.3388)
La (0.6750, 0.6750, 0.6612)
La (0.8515, 0.8515, 0.0838)
La (0.9233, 0.9233, 0.6120)
Tb (0.4023, 0.4023, 0.8538)
Tb (0.5977, 0.5977, 0.1462)
Ru (0.2837, 0.2837, 0.6051)
Ru (0.7163, 0.7163, 0.3949)

Calculated values
N(E_F): 1.1607 states/eV/atom
energy of formation: -0.1290 eV per atom
calculated density: 6.9 g/cm³
offset from the most stable computed form: 0.00 eV per formula unit

Density functional theory data (PBE) for an optimized crystal structure of Ba3ScNb.

Cell lengths 6.1091, 6.1091, 6.1091 Å; angles 90.00, 90.00, 90.00 degrees
Positions (direct):
Ba (0.0000, 0.0000, 0.5000)
Ba (0.0000, 0.5000, 0.0000)
Ba (0.5000, 0.0000, 0.0000)
Sc (0.5000, 0.5000, 0.5000)
Nb (0.0000, 0.0000, 0.0000)

Calculated values
N(E_F): 1.2996 states/eV/atom
energy of formation: 1.0089 eV per atom
calculated density: 4.0 g/cm³
offset from the most stable computed form: 0.00 eV per formula unit

Density functional theory data (PBE) for an optimized crystal structure of Np2AgS4.

Cell lengths 8.0096, 8.0096, 8.0096 Å; angles 120.21, 120.21, 89.64 degrees
Positions (direct):
Np (0.0000, 0.0000, 0.0000)
Np (0.0000, 0.0000, 0.5000)
Np (0.0000, 0.5000, 0.0000)
Np (0.5000, 0.0000, 0.5000)
Ag (0.3750, 0.6250, 0.7500)
Ag (0.6250, 0.3750, 0.2500)
S (0.2241, 0.2420, 0.9821)
S (0.2401, 0.7580, 0.4821)
S (0.2420, 0.2241, 0.4821)
S (0.2420, 0.7599, 0.0179)
S (0.7580, 0.2401, 0.9821)
S (0.7580, 0.7759, 0.5179)
S (0.7599, 0.2420, 0.5179)
S (0.7759, 0.7580, 0.0179)

Calculated values
raw formation energy: -1.0195 eV per atom
N(E_F): 2.4963 states/eV/atom
calculated density: 6.5 g/cm³

Density functional theory data (PBE) for an optimized crystal structure of MgBiPt2O8.

Cell lengths 5.3657, 5.3657, 6.0395 Å; angles 90.00, 90.00, 120.00 degrees
Positions (direct):
Mg (0.0000, 0.0000, 0.0000)
Bi (0.0000, 0.0000, 0.5000)
Pt (0.3333, 0.6667, 0.9465)
Pt (0.6667, 0.3333, 0.0535)
O (0.0516, 0.3613, 0.1584)
O (0.3097, 0.9484, 0.1584)
O (0.3333, 0.6667, 0.6116)
O (0.3613, 0.3097, 0.8416)
O (0.6387, 0.6903, 0.1584)
O (0.6667, 0.3333, 0.3884)
O (0.6903, 0.0516, 0.8416)
O (0.9484, 0.6387, 0.8416)

Calculated values
raw formation energy: -0.3571 eV per atom
N(E_F): 0.4248 states/eV/atom
calculated density: 8.3 g/cm³